(1)
Here is an optimized crystal structure of BaMg7Tl12 from Alexandria. Energies are from PBE-GGA.

```
BaMg7Tl12
1.0
-5.438 5.438 5.438
5.438 -5.438 5.438
5.438 5.438 -5.438
Ba Mg Tl
1 7 12
direct
0.000 0.000 0.000
0.000 0.000 0.500
0.000 0.500 0.000
0.000 0.500 0.500
0.500 0.000 0.000
0.500 0.000 0.500
0.500 0.500 0.000
0.500 0.500 0.500
0.110 0.340 0.770
0.230 0.570 0.340
0.230 0.890 0.660
0.340 0.230 0.570
0.340 0.770 0.110
0.430 0.660 0.770
0.570 0.340 0.230
0.660 0.230 0.890
0.660 0.770 0.430
0.770 0.110 0.340
0.770 0.430 0.660
0.890 0.660 0.230
```

## Properties
Space group = Im-3
DFT total energy = -1.972 eV/atom
ρ = 7126 kg/m3
ΔH_f (0 K) = 102 meV/atom



(2)
Here is an optimized crystal structure of SmTmPdPt from Alexandria. Energies are from PBE-GGA.

```
SmTmPdPt
1.0
4.502 0.000 0.000
0.000 1.888 5.314
0.000 -1.888 5.314
Sm Tm Pd Pt
1 1 1 1
direct
0.000 0.000 0.000
0.500 0.275 0.275
0.500 0.553 0.553
0.000 0.727 0.727
```

## Properties
Space group = Amm2
DFT total energy = -6.186 eV/atom
ρ = 11412 kg/m3
ΔH_f (0 K) = -1080 meV/atom



(3)
Here is an optimized crystal structure of Hf4Ga5 from Alexandria. Energies are from PBE-GGA.

```
Hf4Ga5
1.0
-4.716 4.716 1.935
4.716 -4.716 1.935
4.716 4.716 -1.935
Hf Ga
4 5
direct
0.166 0.166 0.331
0.166 0.834 0.000
0.834 0.166 0.000
0.834 0.834 0.669
0.186 0.500 0.686
0.500 0.186 0.686
0.500 0.500 0.000
0.500 0.814 0.314
0.814 0.500 0.314
```

## Properties
Space group = I4/mmm
DFT total energy = -6.345 eV/atom
ρ = 10248 kg/m3
ΔH_f (0 K) = -240 meV/atom